Entry 1:
Material: Y2Er2Tm
Method: DFT, PBE
State: optimized geometry

Unit cell a=9.231 b=9.231 c=3.696 alpha=90.00 beta=90.00 gamma=90.00
Fractional positions:
Y 0.128 0.372 0.000
Y 0.372 0.872 0.000
Y 0.628 0.128 0.000
Y 0.872 0.628 0.000
Er 0.171 0.671 0.500
Er 0.329 0.171 0.500
Er 0.671 0.829 0.500
Er 0.829 0.329 0.500
Tm 0.000 0.000 0.000
Tm 0.500 0.500 0.000

Results
**DOS at the Fermi energy**: 4.17 states/eV/f.u.
**Energy of formation from the pure elements**: 0.112 eV per atom
**Total moment**: 0.001 μB per formula unit
**Symmetry**: P4/mbm
**Uncorrected energy**: -5.193 eV/atom



Entry 2:
Material: RbSiAs3
Method: DFT, PBE
State: optimized geometry

Unit cell a=5.014 b=5.014 c=5.014 alpha=90.00 beta=90.00 gamma=90.00
Fractional positions:
Rb 0.000 0.000 0.000
Si 0.500 0.500 0.500
As 0.000 0.500 0.500
As 0.500 0.000 0.500
As 0.500 0.500 0.000

Results
**Raw formation energy**: 318 meV/atom
**DOS at the Fermi energy**: 4.13 states/eV/f.u.
**Total moment**: 0.000 μB per formula unit
**Symmetry**: Pm-3m
**Uncorrected energy**: -3.750 eV/atom



Entry 3:
Material: Rb2Ta2S5
Method: DFT, PBE
State: optimized geometry

Unit cell a=7.347 b=7.347 c=8.257 alpha=99.56 beta=99.56 gamma=38.39
Fractional positions:
Rb 0.087 0.087 0.318
Rb 0.913 0.913 0.682
Ta 0.352 0.352 0.100
Ta 0.648 0.648 0.900
S 0.181 0.181 0.960
S 0.372 0.372 0.376
S 0.500 0.500 0.000
S 0.628 0.628 0.624
S 0.819 0.819 0.040

Results
**Raw formation energy**: -1007 meV/atom
**DOS at the Fermi energy**: 2.82 states/eV/f.u.
**Total moment**: 0.000 μB per formula unit
**Symmetry**: C2/m
**Uncorrected energy**: -6.149 eV/atom



Entry 4:
Material: CaHgSCl2
Method: DFT, PBE
State: optimized geometry

Unit cell a=5.237 b=5.237 c=5.107 alpha=90.00 beta=90.00 gamma=90.00
Fractional positions:
Ca 0.000 0.000 0.000
Hg 0.500 0.500 0.500
S 0.500 0.500 0.000
Cl 0.000 0.500 0.500
Cl 0.500 0.000 0.500

Results
**Raw formation energy**: -764 meV/atom
**DOS at the Fermi energy**: 0.41 states/eV/f.u.
**Total moment**: 0.000 μB per formula unit
**Symmetry**: P4/mmm
**Uncorrected energy**: -2.788 eV/atom



The highest DOS at the Fermi energy belongs to which entry? Y2Er2Tm



Which of these has the lowest uncorrected energy? Rb2Ta2S5